This record from the Open Quantum Materials Database describes a geometry-optimized Co2Re11 structure. The functional is PBE-GGA.

It has space group R-3m (No. 166, hexagonal axes), with a = 5.0709 Å, b = 5.0709 Å, c = 26.5964 Å, α = 90.00°, β = 90.00° and γ = 120.00°. The asymmetric unit holds Co at (0.0000, 0.0000, 0.1544), Re at (0.0000, 0.0000, 0.0471), Re at (0.0000, 0.0000, 0.3346), Re at (0.0000, 0.0000, 0.5000) and Re at (0.0057, 0.5029, 0.9118).

Its formation energy is 0.315 eV per atom. Its total DFT energy (no corrections) is -440.29 eV per cell. The value obtained for the total moment is 3.4 μB/f.u.